No. 1
## InBSCl2 (PBE-GGA)

Data for an optimized crystal structure of InBSCl2.

Cell: 4.3952 4.3952 4.5280 Å, 90.00 90.00 90.00°
Element x y z (fractional)
1 In 0.5000 0.5000 0.5000
2 B 0.0000 0.0000 0.0000
3 S 0.0000 0.0000 0.5000
4 Cl 0.5000 0.0000 0.0000
5 Cl 0.0000 0.5000 0.0000

Results
* offset from the most stable computed form: 0 meV/atom
* formation energy (no corrections): 13.04 kJ/mol of atoms
* space group: No. 123
* electronic total energy: -16.56 eV/cell

---

No. 2
## BeCrIn2 (PBE-GGA)

Data for an optimized crystal structure of BeCrIn2.

Cell: 4.1791 4.1788 3.9395 Å, 90.00 90.00 90.00°
Element x y z (fractional)
1 In 0.0000 0.0000 0.0000
2 In 0.5000 0.5000 0.0000
3 Be 0.5000 0.0000 0.5000
4 Cr 0.0000 0.5000 0.5000

Results
* space group: No. 123
* electronic total energy: -17.16 eV/cell
* E_form: 0.416 eV/atom

---

No. 3
## KCd6Hg12 (PBE-GGA)

Data for an optimized crystal structure of KCd6Hg12.

Cell: 8.2513 8.8208 8.8208 Å, 69.26 71.83 108.17°
Element x y z (fractional)
1 Cd 0.0362 0.7204 0.5056
2 Cd 0.3158 0.7740 0.7204
3 Cd 0.5418 0.5056 0.7740
4 Cd 0.4582 0.4944 0.2260
5 Cd 0.9638 0.2796 0.4944
6 Cd 0.6842 0.2260 0.2796
7 Hg 0.2036 0.0758 0.5488
8 Hg 0.3421 0.1305 0.1463
9 Hg 0.7525 0.5488 0.3754
10 Hg 0.2475 0.4512 0.6246
11 Hg 0.5116 0.8537 0.2768
12 Hg 0.6579 0.8695 0.8537
13 Hg 0.1279 0.3754 0.0758
14 Hg 0.7964 0.9242 0.4512
15 Hg 0.8721 0.6246 0.9242
16 Hg 0.2116 0.7232 0.1305
17 Hg 0.7884 0.2768 0.8695
18 Hg 0.4884 0.1463 0.7232
19 K 0.0000 0.0000 0.0000

Results
* offset from the most stable computed form: 5 meV/atom
* space group: No. 148
* electronic total energy: -10.57 eV/cell
* E_form: -0.019 eV/atom

---

No. 4
## KSCl (PBE-GGA)

Data for an optimized crystal structure of KSCl.

Cell: 4.4475 8.8827 11.2469 Å, 96.54 90.00 90.00°
Element x y z (fractional)
1 Cl 0.7508 0.8535 0.3570
2 Cl 0.7492 0.3535 0.3570
3 Cl 0.2492 0.1465 0.6430
4 Cl 0.2508 0.6465 0.6430
5 K 0.7491 0.3957 0.6411
6 K 0.2509 0.6043 0.3589
7 K 0.7509 0.8957 0.6411
8 K 0.2491 0.1043 0.3589
9 S 0.5829 0.9480 0.0621
10 S 0.9171 0.4480 0.0621
11 S 0.0829 0.5520 0.9379
12 S 0.4171 0.0520 0.9379

Results
* offset from the most stable computed form: 0 meV/atom
* formation energy (no corrections): -105.51 kJ/mol of atoms
* space group: No. 14
* electronic total energy: -41.41 eV/cell

---

No. 5
## Hf2ZnCl (PBE-GGA)

Data for an optimized crystal structure of Hf2ZnCl.

Cell: 4.7078 4.7078 4.7078 Å, 60.00 60.00 60.00°
Element x y z (fractional)
1 Hf 0.7500 0.7500 0.7500
2 Hf 0.2500 0.2500 0.2500
3 Zn 0.5000 0.5000 0.5000
4 Cl 0.0000 0.0000 0.0000

Results
* offset from the most stable computed form: 0 meV/atom
* formation energy (no corrections): -2.84 kJ/mol of atoms
* space group: No. 225
* electronic total energy: -23.15 eV/cell